1.
The following is a GGA-PBE calculation of a geometry-optimized SrZr3Be structure, from Alexandria.

Cell and atoms, written as POSCAR:
```
SrZr3Be
1.0
5.004 0.000 0.000
0.000 5.004 0.000
0.000 0.000 5.004
Sr Zr Be
1 3 1
Direct
0.000 0.000 0.000
0.000 0.500 0.500
0.500 0.000 0.500
0.500 0.500 0.000
0.500 0.500 0.500
```

Computed properties:
**Energy of formation**: 505 meV per atom
**Fermi-level density of states**: 1.836 states/eV per atom
**Symmetry**: Pm-3m (221)
**Total moment**: 0.9 μB per formula unit
**Relative energy among the computed polymorphs**: 0.000 eV per atom

***

2.
The following is a GGA-PBE calculation of a geometry-optimized InHg2Cl structure, from Alexandria.

Cell and atoms, written as POSCAR:
```
InHg2Cl
1.0
4.460 0.000 0.000
0.000 6.077 0.000
-0.212 0.000 4.491
In Hg Cl
1 2 1
Direct
0.000 0.000 0.000
0.252 0.500 0.748
0.748 0.500 0.252
0.500 0.000 0.500
```

Computed properties:
**Energy relative to the elements, uncorrected**: -348 meV per atom
**Fermi-level density of states**: 0.133 states/eV per atom
**Symmetry**: P2/m (10)
**Total moment**: 0.0 μB per formula unit
**Relative energy among the computed polymorphs**: 0.047 eV per atom

***

3.
The following is a GGA-PBE calculation of a geometry-optimized Ac3Pm5Y2 structure, from Alexandria.

Cell and atoms, written as POSCAR:
```
Ac3Pm5Y2
1.0
-4.980 7.112 5.623
4.980 -7.112 5.623
4.980 7.112 -5.623
Ac Pm Y
6 10 4
Direct
0.125 0.246 0.371
0.250 0.250 0.000
0.375 0.746 0.122
0.625 0.254 0.878
0.750 0.750 0.000
0.875 0.754 0.629
0.006 0.750 0.256
0.120 0.595 0.716
0.250 0.750 0.500
0.380 0.095 0.475
0.494 0.750 0.744
0.506 0.250 0.256
0.620 0.905 0.525
0.750 0.250 0.500
0.880 0.405 0.284
0.994 0.250 0.744
0.138 0.903 0.041
0.362 0.403 0.765
0.638 0.597 0.235
0.862 0.097 0.959
```

Computed properties:
**Energy of formation**: 345 meV per atom
**Fermi-level density of states**: 1.500 states/eV per atom
**Symmetry**: Ibam (72)
**Total moment**: 0.0 μB per formula unit

***

4.
The following is a GGA-PBE calculation of a geometry-optimized RbTaIrI2 structure, from Alexandria.

Cell and atoms, written as POSCAR:
```
RbTaIrI2
1.0
5.783 0.000 0.000
0.000 5.783 0.000
0.000 0.000 4.896
Rb Ta Ir I
1 1 1 2
Direct
0.000 0.000 0.000
0.500 0.500 0.500
0.500 0.500 0.000
0.000 0.500 0.500
0.500 0.000 0.500
```

Computed properties:
**Energy relative to the elements, uncorrected**: 217 meV per atom
**Fermi-level density of states**: 0.667 states/eV per atom
**Symmetry**: P4/mmm (123)
**Total moment**: 0.0 μB per formula unit